# 1
Density functional theory data (GGA-PBE) for BeNiW after structural relaxation.

Geometry as extended XYZ:
```
3
Lattice="-1.704 -1.095 3.364 -3.428 1.588 1.073 -3.276 -2.165 -0.072" Properties=species:S:1:pos:R:3 pbc="T T T"
W 0.000 0.000 0.000
Ni -2.102 -0.418 1.091
Be -6.306 -1.254 3.274
```

Values from the calculation:
total magnetization = 0.00 μB/cell
space group = F-43m
energy of formation from the pure elements = 80.1 kJ per mole of atoms
DOS at the Fermi energy = 0.146 states/eV/atom
energy above the most stable polymorph in this dataset = 1072 meV/atom
DFT total energy = -6.66 eV/atom

***

# 2
Density functional theory data (GGA-PBE) for Pa4Ag after structural relaxation.

Geometry as extended XYZ:
```
5
Lattice="-3.612 3.768 1.357 -3.142 -3.799 2.187 2.484 0.674 4.739" Properties=species:S:1:pos:R:3 pbc="T T T"
Pa -0.329 -1.562 3.463
Pa -0.564 2.221 3.048
Pa -3.377 -0.015 1.772
Pa 0.000 0.000 0.000
Ag -2.135 0.322 4.142
```

Values from the calculation:
total magnetization = 0.00 μB/cell
space group = Pm-3m
energy of formation from the pure elements = 130.1 kJ per mole of atoms
DOS at the Fermi energy = 2.477 states/eV/atom
DFT total energy = -6.82 eV/atom

***

# 3
Density functional theory data (GGA-PBE) for Ti3AuC after structural relaxation.

Geometry as extended XYZ:
```
10
Lattice="4.734 0.000 0.936 0.000 5.928 0.000 -0.826 0.000 5.103" Properties=species:S:1:pos:R:3 pbc="T T T"
Ti 3.072 1.482 4.020
Ti 0.500 5.922 4.552
Ti 3.409 2.958 1.486
Ti 0.500 2.970 4.552
Ti 3.409 0.006 1.486
Ti 0.837 4.446 2.019
Au 0.817 1.482 2.025
Au 3.091 4.446 4.013
C 1.613 1.482 5.497
C 2.296 4.446 0.541
```

Values from the calculation:
total magnetization = 0.00 μB/cell
space group = P2_1/m
energy of formation from the pure elements = -36.5 kJ per mole of atoms
DOS at the Fermi energy = 1.538 states/eV/atom
energy above the most stable polymorph in this dataset = 243 meV/atom
DFT total energy = -7.62 eV/atom